Here is a relaxed CrSbAu crystal from Alexandria. Energies are from GGA-PBE.

Lattice parameters (Å, degrees): 4.473 4.473 4.473 60.00 60.00 60.00
Atoms (fractional coordinates):
Cr 0.000 0.000 0.000
Sb 0.750 0.750 0.750
Au 0.250 0.250 0.250

The magnetization is 3.1 μB/f.u. The polymorph energy (0 for the lowest one) comes out at 0.00 eV per formula unit. The calculation puts the energy relative to the elements, uncorrected at 0.14 eV/atom. Its space-group type is F-43m. As for the total energy: -5.536 eV per atom. The density of states at the Fermi level is 2.3 states/eV/f.u.

Here is a relaxed CrTc2SbAu crystal from Alexandria. Energies are from GGA-PBE.

Lattice parameters (Å, degrees): 4.822 4.822 4.666 90.00 90.00 90.00
Atoms (fractional coordinates):
Cr 0.000 0.000 0.000
Tc 0.000 0.500 0.500
Tc 0.500 0.000 0.500
Sb 0.000 0.000 0.500
Au 0.500 0.500 0.000

The magnetization is 0.6 μB/f.u. The calculation puts the energy relative to the elements, uncorrected at 1.94 eV/atom. Its space-group type is P4/mmm. As for the total energy: -5.610 eV per atom. The density of states at the Fermi level is 9.2 states/eV/f.u.

Question: What is the energy relative to the elements, uncorrected in the first record?
Answer: 0.14 eV/atom

Question: Look up the magnetization of the second one.
Answer: 0.6 μB/f.u.

Please write out number 2 again, unchanged.
Here is a relaxed CrTc2SbAu crystal from Alexandria. Energies are from GGA-PBE.

Lattice parameters (Å, degrees): 4.822 4.822 4.666 90.00 90.00 90.00
Atoms (fractional coordinates):
Cr 0.000 0.000 0.000
Tc 0.000 0.500 0.500
Tc 0.500 0.000 0.500
Sb 0.000 0.000 0.500
Au 0.500 0.500 0.000

The magnetization is 0.6 μB/f.u. The calculation puts the energy relative to the elements, uncorrected at 1.94 eV/atom. Its space-group type is P4/mmm. As for the total energy: -5.610 eV per atom. The density of states at the Fermi level is 9.2 states/eV/f.u.